Record 1
The following is a DFT calculation (PBE-GGA) of a geometry-optimized RbTiSi3 structure.

Lattice parameters (Å, degrees): 5.115 5.115 5.115 90.00 90.00 90.00
Fractional positions:
Rb 0.000 0.000 0.000
Ti 0.500 0.500 0.500
Si 0.000 0.000 0.500
Si 0.000 0.500 0.000
Si 0.500 0.000 0.000

Values from the calculation:
raw formation energy	11.94	eV/f.u.
E above lowest polymorph	10.646	eV per formula unit
space group	No. 221


Record 2
The following is a DFT calculation (PBE-GGA) of a geometry-optimized Hf5Sb2P structure.

Lattice parameters (Å, degrees): 7.366 7.366 11.969 90.00 90.00 140.45
Fractional positions:
Hf 0.099 0.901 0.625
Hf 0.099 0.901 0.875
Hf 0.291 0.709 0.250
Hf 0.306 0.694 0.540
Hf 0.306 0.694 0.960
Hf 0.694 0.306 0.040
Hf 0.694 0.306 0.460
Hf 0.709 0.291 0.750
Hf 0.901 0.099 0.125
Hf 0.901 0.099 0.375
Sb 0.110 0.890 0.116
Sb 0.110 0.890 0.384
Sb 0.890 0.110 0.616
Sb 0.890 0.110 0.884
P 0.251 0.749 0.750
P 0.749 0.251 0.250

Values from the calculation:
raw formation energy	-1.38	eV/f.u.
space group	No. 63


Record 3
The following is a DFT calculation (PBE-GGA) of a geometry-optimized NaGa2Hg2 structure.

Lattice parameters (Å, degrees): 6.285 6.285 6.285 134.43 134.43 66.41
Fractional positions:
Na 0.000 0.000 0.000
Ga 0.381 0.381 0.000
Ga 0.619 0.619 0.000
Hg 0.250 0.750 0.500
Hg 0.750 0.250 0.500

Values from the calculation:
E above lowest polymorph	0.035	eV per formula unit
ΔH_f (0 K)	-0.06	eV per atom
space group	No. 139